No. 1
A plane-wave DFT calculation with PBE was carried out for PuHf5P6 after structural relaxation.

Geometry as POSCAR:
```
PuHf5P6
1.0
3.239 -5.609 0.000
3.239 5.609 0.000
-2.168 0.000 6.110
Pu Hf P
1 5 6
Cartesian
0.000 0.000 0.000
2.155 3.757 3.055
3.239 1.883 0.000
2.155 0.000 3.055
3.239 -1.883 0.000
2.155 -3.757 3.055
1.099 1.907 1.564
0.040 0.000 4.576
1.099 -1.907 1.564
3.210 1.907 4.547
4.270 0.000 1.535
3.210 -1.907 4.547
```

Calculated formation energy: -1.267 eV/atom
Size of the total moment: 0.43 μB/atom
Space group: C2/m



No. 2
A plane-wave DFT calculation with PBE was carried out for Ca2ZnFe after structural relaxation.

Geometry as POSCAR:
```
Ca2ZnFe
1.0
-2.261 2.261 10.084
2.261 -2.261 10.084
2.261 2.261 -10.084
Ca Zn Fe
4 2 2
Cartesian
3.392 1.109 -2.521
1.109 1.131 2.521
-1.131 1.153 7.563
1.153 1.131 12.605
2.261 0.000 5.042
0.000 0.000 10.084
0.000 0.000 0.000
0.000 2.261 5.042
```

Calculated formation energy: 0.710 eV/atom
Size of the total moment: 0.65 μB/atom
Space group: I-42d